# 1
Below is a relaxed structure of CePu2Tl, with properties calculated at the PBE level.

## Properties
The distance to the lowest polymorph of the same formula is 46.8 meV per atom. For the formation energy, the calculation gives 7 meV/atom. The symmetry is P1 (1).

a = 3.653 Å, b = 6.142 Å, c = 5.119 Å
α = 114.51°, β = 89.96°, γ = 107.45°
Fractional coordinates of all 4 atoms:
Ce1 0.635 0.464 0.359
Pu1 0.928 0.568 0.910
Pu2 0.588 0.873 0.064
Tl1 0.184 0.058 0.656

***

# 2
Below is a relaxed structure of CdSI2N, with properties calculated at the PBE level.

## Properties
The value obtained for the energy relative to the elements, uncorrected is 0.599 eV/atom. The distance to the lowest polymorph of the same formula is 0.0 meV per atom. The symmetry is P4/mmm (123).

a = 7.405 Å, b = 7.405 Å, c = 3.225 Å
α = 90.00°, β = 90.00°, γ = 90.00°
Fractional coordinates of all 5 atoms:
I1 0.000 0.500 0.000
I2 0.500 0.000 0.000
S1 0.000 0.000 0.000
N1 0.000 0.000 0.500
Cd1 0.500 0.500 0.500

***

# 3
Below is a relaxed structure of DyThInCu, with properties calculated at the PBE level.

## Properties
For the formation energy, the calculation gives -161 meV/atom. The symmetry is F-43m (216).

a = 5.248 Å, b = 5.248 Å, c = 5.248 Å
α = 60.00°, β = 60.00°, γ = 60.00°
Fractional coordinates of all 4 atoms:
In1 0.750 0.750 0.750
Cu1 0.250 0.250 0.250
Th1 0.500 0.500 0.500
Dy1 0.000 0.000 0.000

***

| no. | magnetization (μB/f.u.) |
| --- | --- |
| 1 | 0.38 |
| 2 | 0.00 |
| 3 | 0.00 |